Here is a geometry-optimized LuHfRe structure from OQMD. Energies are from PBE.

Properties
The calculation puts the magnetic moment at 0.00 μB/f.u. Its energy of formation is 141 meV per atom. The value obtained for the total energy is -8.826 eV/atom. Its space group is No. 216.

Cell lengths 6.5229, 6.5229, 6.5229 Å; angles 90.00, 90.00, 90.00 degrees
Last column: nearest neighbours and their distance in Å.
Sites, in units of the cell vectors:
Lu  0.0000  0.0000  0.0000  4 Re 2.82
Lu  0.0000  0.5000  0.5000  4 Re 2.82
Lu  0.5000  0.0000  0.5000  4 Re 2.82
Lu  0.5000  0.5000  0.0000  4 Re 2.82
Hf  0.0000  0.0000  0.5000  4 Re 2.82
Hf  0.0000  0.5000  0.0000  4 Re 2.82
Hf  0.5000  0.0000  0.0000  4 Re 2.82
Hf  0.5000  0.5000  0.5000  4 Re 2.82
Re  0.2500  0.2500  0.7500  4 Hf 2.82, 4 Lu 2.82
Re  0.2500  0.7500  0.2500  4 Hf 2.82, 4 Lu 2.82
Re  0.7500  0.2500  0.2500  4 Hf 2.82, 4 Lu 2.82
Re  0.7500  0.7500  0.7500  4 Hf 2.82, 4 Lu 2.82